# PBE HfCdB2Se, optimized geometry
data_HfCdB2Se
_chemical_formula_sum 'Hf1 Cd1 B2 Se1'
_cell_length_a 4.4806
_cell_length_b 4.4806
_cell_length_c 5.7369
_cell_angle_alpha 90.00
_cell_angle_beta 90.00
_cell_angle_gamma 90.00
_symmetry_space_group_name_H-M 'P 4/m m m'
_symmetry_Int_Tables_number 123
_symmetry_space_group_name_Hall '-P 4 2'
loop_
_atom_site_label
_atom_site_type_symbol
_atom_site_fract_x
_atom_site_fract_y
_atom_site_fract_z
Hf1 Hf 0.0000 0.0000 0.0000
Cd1 Cd 0.0000 0.0000 0.5000
B1 B 0.0000 0.5000 0.0000
Se1 Se 0.5000 0.5000 0.5000
# E_form (uncorrected) = 7.830 eV/f.u.
# V = 115 Å³/cell

***

# PBE LaAgSe4, optimized geometry
data_LaAgSe4
_chemical_formula_sum 'La4 Ag4 Se16'
_cell_length_a 8.2330
_cell_length_b 8.2330
_cell_length_c 8.2330
_cell_angle_alpha 90.00
_cell_angle_beta 90.00
_cell_angle_gamma 90.00
_symmetry_space_group_name_H-M 'F -4 3 m'
_symmetry_Int_Tables_number 216
_symmetry_space_group_name_Hall 'F -4 2 3'
loop_
_atom_site_label
_atom_site_type_symbol
_atom_site_fract_x
_atom_site_fract_y
_atom_site_fract_z
La1 La 0.0000 0.0000 0.0000
Ag1 Ag 0.2500 0.2500 0.2500
Se1 Se 0.1243 0.1243 0.6243
# E_form (uncorrected) = -1.285 eV/f.u.
# V = 558 Å³/cell

***

# PBE PmNd2Tm7, optimized geometry
data_PmNd2Tm7
_chemical_formula_sum 'Pm2 Nd4 Tm14'
_cell_length_a 6.4477
_cell_length_b 28.7074
_cell_length_c 3.5057
_cell_angle_alpha 90.00
_cell_angle_beta 90.00
_cell_angle_gamma 90.00
_symmetry_space_group_name_H-M 'C m m m'
_symmetry_Int_Tables_number 65
_symmetry_space_group_name_Hall '-C 2 2'
loop_
_atom_site_label
_atom_site_type_symbol
_atom_site_fract_x
_atom_site_fract_y
_atom_site_fract_z
Pm1 Pm 0.0000 0.0000 0.0000
Nd1 Nd 0.0000 0.2915 0.5000
Tm1 Tm 0.0000 0.1841 0.0000
Tm2 Tm 0.0000 0.5000 0.5000
Tm3 Tm 0.2471 0.0986 0.5000
# Polymorph energy (0 for the lowest one) = 142 meV per atom
# Formation energy = 166 meV/atom
# V = 649 Å³/cell